BiSbI2N after structural relaxation. Source: the Alexandria database, functional PBEsol.

Properties
Its crystal system is tetragonal. For the energy, the calculation gives -3.309 eV/atom. Its space-group type is No. 123. The magnetization comes out at 0.0 Bohr magnetons per cell. For the calculated volume, the calculation gives 157.6 Å³/cell.

a = 4.0911 Å, b = 6.2058 Å, c = 6.2058 Å
α = 90.00°, β = 90.00°, γ = 90.00°
Atoms (fractional coordinates):
I  0.0000  0.0000  0.5000
I  0.0000  0.5000  0.0000
Sb  0.5000  0.5000  0.5000
Bi  0.0000  0.0000  0.0000
N  0.5000  0.0000  0.0000



CaAu2Se after structural relaxation. Source: the Alexandria database, functional PBEsol.

Properties
Its crystal system is monoclinic. For the energy, the calculation gives -4.158 eV/atom. Its space-group type is No. 12. The magnetization comes out at 0.0 Bohr magnetons per cell. For the calculated volume, the calculation gives 83.8 Å³/cell.

a = 3.8505 Å, b = 4.0313 Å, c = 5.7321 Å
α = 88.44°, β = 109.63°, γ = 90.00°
Atoms (fractional coordinates):
Ca  0.5000  0.5000  0.0000
Au  0.2331  0.2536  0.4663
Au  0.7669  0.7464  0.5337
Se  0.0000  0.0000  0.0000



CaV2P2O10 after structural relaxation. Source: the Alexandria database, functional PBEsol.

Properties
Its crystal system is orthorhombic. For the energy, the calculation gives -8.174 eV/atom. Its space-group type is No. 43. The magnetization comes out at 4.0 Bohr magnetons per cell. For the calculated volume, the calculation gives 330.1 Å³/cell.

a = 6.8440 Å, b = 6.8440 Å, c = 8.6687 Å
α = 102.54°, β = 102.54°, γ = 116.73°
Atoms (fractional coordinates):
Ca  0.9991  0.4991  0.5000
Ca  0.7491  0.7491  0.0000
V  0.3848  0.6616  0.2630
V  0.3986  0.1218  0.7370
V  0.3718  0.1486  0.2370
V  0.9116  0.1348  0.7630
P  0.5455  0.5458  0.5838
P  0.2117  0.7120  0.9162
P  0.9620  0.9617  0.4162
P  0.7958  0.2955  0.0838
O  0.7175  0.7462  0.3018
O  0.1736  0.1725  0.8333
O  0.6502  0.3616  0.9660
O  0.9962  0.4675  0.8018
O  0.0796  0.0560  0.2946
O  0.1096  0.8920  0.5289
O  0.5904  0.0892  0.6667
O  0.3392  0.3404  0.1667
O  0.4225  0.9236  0.3333
O  0.0350  0.5114  0.2054
O  0.4444  0.4157  0.6982
O  0.3060  0.8296  0.7946
O  0.7614  0.7850  0.7054
O  0.8306  0.1131  0.9711
O  0.3631  0.5806  0.4711
O  0.1420  0.8596  0.0289
O  0.6116  0.4002  0.4660
O  0.3955  0.6842  0.0340
O  0.6657  0.1944  0.1982
O  0.9342  0.1455  0.5340



Ga2W3O12 after structural relaxation. Source: the Alexandria database, functional PBEsol.

Properties
Its crystal system is orthorhombic. For the energy, the calculation gives -8.520 eV/atom. Its space-group type is No. 60. The magnetization comes out at 0.0 Bohr magnetons per cell. For the calculated volume, the calculation gives 1111.2 Å³/cell.

a = 9.2544 Å, b = 9.3430 Å, c = 12.8522 Å
α = 90.00°, β = 90.00°, γ = 90.00°
Atoms (fractional coordinates):
Ga  0.2496  0.0354  0.6199
Ga  0.7496  0.0354  0.8801
Ga  0.7496  0.4646  0.1199
Ga  0.2496  0.4646  0.3801
Ga  0.2504  0.5354  0.8801
Ga  0.7504  0.5354  0.6199
Ga  0.2504  0.9646  0.1199
Ga  0.7504  0.9646  0.3801
W  0.3986  0.1212  0.3550
W  0.8986  0.1212  0.1450
W  0.4773  0.2500  0.0000
W  0.9773  0.2500  0.5000
W  0.3986  0.3788  0.6450
W  0.8986  0.3788  0.8550
W  0.1014  0.6212  0.1450
W  0.6014  0.6212  0.3550
W  0.5227  0.7500  0.0000
W  0.0227  0.7500  0.5000
W  0.1014  0.8788  0.8550
W  0.6014  0.8788  0.6450
O  0.1789  0.9905  0.7574
O  0.6789  0.9905  0.7426
O  0.8206  0.0775  0.0227
O  0.3206  0.0775  0.4773
O  0.0896  0.0958  0.1392
O  0.5896  0.0958  0.3608
O  0.3681  0.1176  0.0609
O  0.8681  0.1176  0.4391
O  0.5892  0.1700  0.9030
O  0.0892  0.1700  0.5970
O  0.8663  0.1940  0.8276
O  0.3663  0.1940  0.6724
O  0.8663  0.3060  0.1724
O  0.3663  0.3060  0.3276
O  0.5892  0.3300  0.0970
O  0.0892  0.3300  0.4030
O  0.8681  0.3824  0.5609
O  0.3681  0.3824  0.9391
O  0.5896  0.4042  0.6392
O  0.0896  0.4042  0.8608
O  0.3206  0.4224  0.5227
O  0.8206  0.4224  0.9773
O  0.6789  0.5095  0.2574
O  0.1789  0.5095  0.2426
O  0.3211  0.4905  0.7426
O  0.8211  0.4905  0.7574
O  0.1794  0.5776  0.0227
O  0.6794  0.5776  0.4773
O  0.4104  0.5958  0.3608
O  0.9104  0.5958  0.1392
O  0.6319  0.6176  0.0609
O  0.1319  0.6176  0.4391
O  0.4108  0.6700  0.9030
O  0.9108  0.6700  0.5970
O  0.6337  0.6940  0.6724
O  0.1337  0.6940  0.8276
O  0.1337  0.8060  0.1724
O  0.6337  0.8060  0.3276
O  0.9108  0.8300  0.4030
O  0.4108  0.8300  0.0970
O  0.6319  0.8824  0.9391
O  0.1319  0.8824  0.5609
O  0.9104  0.9042  0.8608
O  0.4104  0.9042  0.6392
O  0.1794  0.9224  0.9773
O  0.6794  0.9224  0.5227
O  0.8211  0.0095  0.2426
O  0.3211  0.0095  0.2574



SrAlPd2 after structural relaxation. Source: the Alexandria database, functional PBEsol.

Properties
The calculation puts the formation energy at -0.3474 eV per atom. Its crystal system is tetragonal. For the energy, the calculation gives -4.810 eV/atom. Its space-group type is No. 122. The magnetization comes out at 0.0 Bohr magnetons per cell. For the calculated volume, the calculation gives 206.3 Å³/cell.

a = 5.0457 Å, b = 5.0457 Å, c = 8.8542 Å
α = 106.55°, β = 106.55°, γ = 90.00°
Atoms (fractional coordinates):
Sr  0.2500  0.7500  0.5000
Sr  0.0000  0.0000  0.0000
Al  0.7500  0.2500  0.5000
Al  0.5000  0.5000  0.0000
Pd  0.5798  0.8750  0.2500
Pd  0.6702  0.3750  0.2500
Pd  0.1250  0.3298  0.7500
Pd  0.6250  0.4202  0.7500



HPbBr3 after structural relaxation. Source: the Alexandria database, functional PBEsol.

Properties
Its crystal system is cubic. For the energy, the calculation gives -2.663 eV/atom. Its space-group type is No. 221. The magnetization comes out at 0.0 Bohr magnetons per cell. For the calculated volume, the calculation gives 107.0 Å³/cell.

a = 4.7467 Å, b = 4.7467 Å, c = 4.7467 Å
α = 90.00°, β = 90.00°, γ = 90.00°
Atoms (fractional coordinates):
Pb  0.5000  0.5000  0.5000
H  0.0000  0.0000  0.0000
Br  0.0000  0.5000  0.0000
Br  0.0000  0.0000  0.5000
Br  0.5000  0.0000  0.0000



Nb2CO after structural relaxation. Source: the Alexandria database, functional PBEsol.

Properties
Its crystal system is cubic. For the energy, the calculation gives -9.792 eV/atom. Its space-group type is No. 225. The magnetization comes out at 0.0 Bohr magnetons per cell. For the calculated volume, the calculation gives 42.3 Å³/cell.

a = 3.9122 Å, b = 3.9122 Å, c = 3.9122 Å
α = 60.00°, β = 60.00°, γ = 60.00°
Atoms (fractional coordinates):
Nb  0.2500  0.2500  0.2500
Nb  0.7500  0.7500  0.7500
C  0.0000  0.0000  0.0000
O  0.5000  0.5000  0.5000



MgTeO3 after structural relaxation. Source: the Alexandria database, functional PBEsol.

Properties
Its crystal system is cubic. For the energy, the calculation gives -5.098 eV/atom. Its space-group type is No. 221. The magnetization comes out at 0.0 Bohr magnetons per cell. For the calculated volume, the calculation gives 55.2 Å³/cell.

a = 3.8065 Å, b = 3.8065 Å, c = 3.8065 Å
α = 90.00°, β = 90.00°, γ = 90.00°
Atoms (fractional coordinates):
Mg  0.5000  0.5000  0.5000
O  0.0000  0.5000  0.5000
O  0.5000  0.0000  0.5000
O  0.5000  0.5000  0.0000
Te  0.0000  0.0000  0.0000